# PuCo2NiO6 | Alexandria via LeMat-Bulk | PBE with a Hubbard U | relaxed
data_PuCo2NiO6
_cell_length_a 5.9137
_cell_length_b 5.9137
_cell_length_c 4.0612
_cell_angle_alpha 90.00
_cell_angle_beta 90.00
_cell_angle_gamma 90.00
_symmetry_space_group_name_H-M 'P 4 m m'
_symmetry_Int_Tables_number 99
_symmetry_space_group_name_Hall 'P 4 -2'
loop_
_atom_site_label
_atom_site_type_symbol
_atom_site_fract_x
_atom_site_fract_y
_atom_site_fract_z
Pu1 Pu 0.0000 0.0000 0.0000
Co1 Co 0.0000 0.5000 0.0014
Ni1 Ni 0.5000 0.5000 0.0001
O1 O 0.0000 0.0000 0.5000
O2 O 0.2530 0.2530 0.0002
O3 O 0.5000 0.5000 0.5000
# Electronic total energy (eV per atom): -6.88